The following is a DFT calculation (PBE) of crystalline BeCu2Rh at its relaxed geometry.

Cell: 3.448 3.448 7.892 Å, 90.00 90.00 90.00°
Space group I4/mmm (No. 139)
Inequivalent atoms, fractional coordinates:
1 Be 0.000 0.000 0.000 x2
2 Cu 0.000 0.500 0.250 x4
3 Rh 0.000 0.000 0.500 x2

Volume (Å³ per atom): 11.7
E_tot (eV/atom): -4.91
Crystal system: tetragonal
Calculated density (g cm⁻³): 8.5



The following is a DFT calculation (PBE) of crystalline BeCu2Rh at its relaxed geometry.

Cell: 2.829 2.829 5.766 Å, 90.00 90.00 90.00°
Space group P4mm (No. 99)
Inequivalent atoms, fractional coordinates:
1 Be 0.000 0.000 0.000 x1
2 Cu 0.000 0.000 0.498 x1
3 Cu 0.500 0.500 0.239 x1
4 Rh 0.500 0.500 0.790 x1

Volume (Å³ per atom): 11.5
E_tot (eV/atom): -5.01
Crystal system: tetragonal
Calculated density (g cm⁻³): 8.6



Question: calculated density of number 1 (BeCu2Rh)?
Answer: 8.5 g cm⁻³